DFT (PBE) results for CsRbZn2Br6 after structural relaxation.

Results
Energy: -2.692 eV/atom

Structure (CIF):
```
data_CsRbZn2Br6
_space_group_name_H-M_alt 'P 1'
_space_group_IT_number 1
_cell_length_a 9.892
_cell_length_b 9.892
_cell_length_c 9.159
_cell_angle_alpha 102.88
_cell_angle_beta 102.88
_cell_angle_gamma 82.24
loop_
_space_group_symop_operation_xyz
'x,y,z'
loop_
_atom_site_label
_atom_site_fract_x
_atom_site_fract_y
_atom_site_fract_z
Br1 0.746 0.475 0.645
Br2 0.160 0.179 0.551
Br3 0.179 0.160 0.051
Br4 0.254 0.525 0.355
Br5 0.840 0.821 0.449
Br6 0.865 0.467 0.088
Br7 0.525 0.254 0.855
Br8 0.475 0.746 0.145
Br9 0.533 0.135 0.412
Br10 0.821 0.840 0.949
Br11 0.467 0.865 0.588
Br12 0.135 0.533 0.912
Zn1 0.597 0.878 0.378
Zn2 0.878 0.597 0.878
Zn3 0.122 0.403 0.122
Zn4 0.403 0.122 0.622
Cs1 0.129 0.871 0.250
Cs2 0.871 0.129 0.750
Rb1 0.578 0.422 0.250
Rb2 0.422 0.578 0.750
```

---

DFT (PBE) results for LiNd2ErTl4 after structural relaxation.

Results
Formation enthalpy at 0 K: -0.34 eV per atom

Structure (CIF):
```
data_LiNd2ErTl4
_space_group_name_H-M_alt 'P 1'
_space_group_IT_number 1
_cell_length_a 5.311
_cell_length_b 5.311
_cell_length_c 9.490
_cell_angle_alpha 73.75
_cell_angle_beta 73.75
_cell_angle_gamma 60.00
loop_
_space_group_symop_operation_xyz
'x,y,z'
loop_
_atom_site_label
_atom_site_fract_x
_atom_site_fract_y
_atom_site_fract_z
Nd1 0.756 0.756 0.733
Nd2 0.244 0.244 0.267
Li1 0.500 0.500 0.500
Tl1 0.375 0.375 0.875
Tl2 0.625 0.625 0.125
Tl3 0.874 0.874 0.377
Tl4 0.126 0.126 0.623
Er1 0.000 0.000 0.000
```

---

DFT (PBE) results for YScSn2 after structural relaxation.

Results
Formation enthalpy at 0 K: -0.65 eV per atom
Energy relative to the lowest polymorph listed for this composition: 0.000 eV/atom

Structure (CIF):
```
data_YScSn2
_space_group_name_H-M_alt 'P 1'
_space_group_IT_number 1
_cell_length_a 6.092
_cell_length_b 6.100
_cell_length_c 11.585
_cell_angle_alpha 90.00
_cell_angle_beta 105.74
_cell_angle_gamma 90.00
loop_
_space_group_symop_operation_xyz
'x,y,z'
loop_
_atom_site_label
_atom_site_fract_x
_atom_site_fract_y
_atom_site_fract_z
Sn1 0.068 0.624 0.898
Sn2 0.432 0.624 0.602
Sn3 0.080 0.868 0.410
Sn4 0.568 0.376 0.398
Sn5 0.580 0.132 0.910
Sn6 0.932 0.376 0.102
Sn7 0.920 0.132 0.590
Sn8 0.420 0.868 0.090
Y1 0.557 0.874 0.364
Y2 0.943 0.874 0.136
Y3 0.057 0.126 0.864
Y4 0.443 0.126 0.636
Sc1 0.554 0.627 0.871
Sc2 0.054 0.373 0.371
Sc3 0.946 0.627 0.629
Sc4 0.446 0.373 0.129
```

---

DFT (PBE) results for KCr2Cu after structural relaxation.

Results
Formation enthalpy at 0 K: 1.32 eV per atom
Energy relative to the lowest polymorph listed for this composition: 0.676 eV/atom

Structure (CIF):
```
data_KCr2Cu
_space_group_name_H-M_alt 'P 1'
_space_group_IT_number 1
_cell_length_a 5.567
_cell_length_b 5.567
_cell_length_c 2.989
_cell_angle_alpha 90.00
_cell_angle_beta 90.00
_cell_angle_gamma 113.28
loop_
_space_group_symop_operation_xyz
'x,y,z'
loop_
_atom_site_label
_atom_site_fract_x
_atom_site_fract_y
_atom_site_fract_z
Cr1 0.000 0.000 0.000
Cr2 0.500 0.500 0.000
K1 0.000 0.500 0.500
Cu1 0.500 0.000 0.500
```

---

DFT (PBE) results for CeErGa4 after structural relaxation.

Results
Formation enthalpy at 0 K: -0.50 eV per atom
Energy relative to the lowest polymorph listed for this composition: 0.104 eV/atom

Structure (CIF):
```
data_CeErGa4
_space_group_name_H-M_alt 'P 1'
_space_group_IT_number 1
_cell_length_a 5.543
_cell_length_b 5.543
_cell_length_c 5.543
_cell_angle_alpha 60.00
_cell_angle_beta 60.00
_cell_angle_gamma 60.00
loop_
_space_group_symop_operation_xyz
'x,y,z'
loop_
_atom_site_label
_atom_site_fract_x
_atom_site_fract_y
_atom_site_fract_z
Ga1 0.124 0.625 0.625
Ga2 0.625 0.124 0.625
Ga3 0.625 0.625 0.625
Ga4 0.625 0.625 0.124
Ce1 0.000 0.000 0.000
Er1 0.250 0.250 0.250
```

---

DFT (PBE) results for BaBi4Pd2 after structural relaxation.

Results
Formation enthalpy at 0 K: -0.31 eV per atom
Energy relative to the lowest polymorph listed for this composition: 0.124 eV/atom

Structure (CIF):
```
data_BaBi4Pd2
_space_group_name_H-M_alt 'P 1'
_space_group_IT_number 1
_cell_length_a 4.778
_cell_length_b 4.854
_cell_length_c 9.279
_cell_angle_alpha 105.16
_cell_angle_beta 90.00
_cell_angle_gamma 90.00
loop_
_space_group_symop_operation_xyz
'x,y,z'
loop_
_atom_site_label
_atom_site_fract_x
_atom_site_fract_y
_atom_site_fract_z
Pd1 0.500 0.580 0.160
Pd2 0.500 0.420 0.840
Bi1 0.000 0.331 0.663
Bi2 0.500 0.838 0.676
Bi3 0.500 0.162 0.324
Bi4 0.000 0.669 0.337
Ba1 0.000 0.000 0.000
```